1.
AcTeClO4 | GGA-PBE | optimized geometry

Unit cell a=6.751 b=6.751 c=7.395 alpha=103.07 beta=103.07 gamma=71.13
Element x y z (fractional)
Ac (0.224, 0.224, 0.132)
Ac (0.776, 0.776, 0.868)
Te (0.363, 0.363, 0.737)
Te (0.637, 0.637, 0.263)
Cl (0.017, 0.017, 0.771)
Cl (0.983, 0.983, 0.229)
O (0.126, 0.483, 0.854)
O (0.290, 0.290, 0.483)
O (0.464, 0.464, 0.208)
O (0.483, 0.126, 0.854)
O (0.517, 0.874, 0.146)
O (0.536, 0.536, 0.792)
O (0.710, 0.710, 0.517)
O (0.874, 0.517, 0.146)

- Density of states at the Fermi level: 0.00 states/eV/f.u.
- Raw formation energy: -1836 meV/atom
- Volume: 306.34 Å³ per cell
- Calculated density: 4.922 g cm⁻³



2.
Pr3PuZn4 | GGA-PBE | optimized geometry

Unit cell a=3.685 b=3.685 c=14.694 alpha=90.00 beta=90.00 gamma=90.00
Element x y z (fractional)
Pr (0.000, 0.000, 0.000)
Pr (0.000, 0.000, 0.255)
Pr (0.000, 0.000, 0.745)
Pu (0.000, 0.000, 0.500)
Zn (0.500, 0.500, 0.127)
Zn (0.500, 0.500, 0.382)
Zn (0.500, 0.500, 0.618)
Zn (0.500, 0.500, 0.873)

- Density of states at the Fermi level: 12.58 states/eV/f.u.
- Volume: 199.52 Å³ per cell
- Calculated density: 7.726 g cm⁻³
- Formation enthalpy at 0 K: -224 meV/atom



3.
BaLaTa | GGA-PBE | optimized geometry

Unit cell a=5.598 b=5.598 c=3.283 alpha=90.00 beta=90.00 gamma=120.00
Element x y z (fractional)
Ba (0.000, 0.000, 0.000)
La (0.667, 0.333, 0.500)
Ta (0.333, 0.667, 0.000)

- Density of states at the Fermi level: 4.64 states/eV/f.u.
- Excess energy over the best structure of this formula in the dataset: 19.0 kJ per mole of atoms
- Volume: 89.10 Å³ per cell
- Calculated density: 8.520 g cm⁻³
- Formation enthalpy at 0 K: 904 meV/atom



4.
K2Na5Hg | GGA-PBE | optimized geometry

Unit cell a=9.010 b=9.010 c=9.010 alpha=134.17 beta=134.17 gamma=66.82
Element x y z (fractional)
K (0.000, 0.500, 0.500)
K (0.500, 0.000, 0.500)
Na (0.390, 0.390, 0.000)
Na (0.485, 0.485, 0.509)
Na (0.485, 0.976, 0.000)
Na (0.976, 0.485, 0.000)
Na (0.976, 0.976, 0.491)
Hg (0.593, 0.593, 0.000)

- Density of states at the Fermi level: 4.15 states/eV/f.u.
- Volume: 370.30 Å³ per cell
- Calculated density: 1.766 g cm⁻³
- Formation enthalpy at 0 K: -19 meV/atom



5.
La12Dy7Th | GGA-PBE | optimized geometry

Unit cell a=11.543 b=11.543 c=11.543 alpha=116.67 beta=116.67 gamma=116.67
Element x y z (fractional)
La (0.001, 0.407, 0.595)
La (0.074, 0.075, 0.431)
La (0.075, 0.431, 0.074)
La (0.405, 0.999, 0.593)
La (0.407, 0.595, 0.001)
La (0.431, 0.074, 0.075)
La (0.569, 0.926, 0.925)
La (0.593, 0.405, 0.999)
La (0.595, 0.001, 0.407)
La (0.925, 0.569, 0.926)
La (0.926, 0.925, 0.569)
La (0.999, 0.593, 0.405)
Dy (0.000, 0.000, 0.000)
Dy (0.130, 0.381, 0.380)
Dy (0.380, 0.130, 0.381)
Dy (0.381, 0.380, 0.130)
Dy (0.619, 0.620, 0.870)
Dy (0.620, 0.870, 0.619)
Dy (0.870, 0.619, 0.620)
Th (0.500, 0.500, 0.500)

- Density of states at the Fermi level: 27.12 states/eV/f.u.
- Excess energy over the best structure of this formula in the dataset: 3.7 kJ per mole of atoms
- Volume: 712.97 Å³ per cell
- Calculated density: 7.072 g cm⁻³
- Formation enthalpy at 0 K: 227 meV/atom



6.
Ca2InIr | GGA-PBE | optimized geometry

Unit cell a=5.260 b=5.260 c=5.260 alpha=127.15 beta=127.15 gamma=78.00
Element x y z (fractional)
Ca (0.000, 0.000, 0.000)
Ca (0.750, 0.250, 0.500)
In (0.250, 0.750, 0.500)
Ir (0.500, 0.500, 0.000)

- Density of states at the Fermi level: 3.76 states/eV/f.u.
- Volume: 89.60 Å³ per cell
- Calculated density: 7.176 g cm⁻³
- Formation enthalpy at 0 K: -193 meV/atom



7.
HfMg2Os | GGA-PBE | optimized geometry

Unit cell a=10.639 b=10.639 c=10.639 alpha=158.92 beta=158.92 gamma=29.98
Element x y z (fractional)
Hf (0.000, 0.000, 0.000)
Hf (0.750, 0.250, 0.500)
Mg (0.143, 0.625, 0.018)
Mg (0.375, 0.393, 0.518)
Mg (0.607, 0.125, 0.982)
Mg (0.875, 0.857, 0.482)
Os (0.250, 0.750, 0.500)
Os (0.500, 0.500, 0.000)

- Density of states at the Fermi level: 1.26 states/eV/f.u.
- Excess energy over the best structure of this formula in the dataset: 0.5 kJ per mole of atoms
- Volume: 155.64 Å³ per cell
- Calculated density: 8.905 g cm⁻³
- Formation enthalpy at 0 K: 288 meV/atom



8.
Rb2ZrTa | GGA-PBE | optimized geometry

Unit cell a=5.675 b=5.675 c=5.675 alpha=60.00 beta=60.00 gamma=60.00
Element x y z (fractional)
Rb (0.250, 0.250, 0.250)
Rb (0.750, 0.750, 0.750)
Zr (0.000, 0.000, 0.000)
Ta (0.500, 0.500, 0.500)

- Density of states at the Fermi level: 20.23 states/eV/f.u.
- Excess energy over the best structure of this formula in the dataset: 63.4 kJ per mole of atoms
- Volume: 129.23 Å³ per cell
- Calculated density: 5.694 g cm⁻³
- Formation enthalpy at 0 K: 2326 meV/atom



9.
MgTa2Au | GGA-PBE | optimized geometry

Unit cell a=6.077 b=6.077 c=6.077 alpha=101.19 beta=101.19 gamma=127.73
Element x y z (fractional)
Mg (0.000, 0.000, 0.000)
Mg (0.750, 0.250, 0.500)
Ta (0.149, 0.125, 0.524)
Ta (0.375, 0.851, 0.976)
Ta (0.601, 0.625, 0.476)
Ta (0.875, 0.399, 0.024)
Au (0.250, 0.750, 0.500)
Au (0.500, 0.500, 0.000)

- Density of states at the Fermi level: 3.83 states/eV/f.u.
- Volume: 159.33 Å³ per cell
- Calculated density: 12.156 g cm⁻³
- Formation enthalpy at 0 K: 589 meV/atom



10.
PrHo2Cd5 | GGA-PBE | optimized geometry

Unit cell a=8.358 b=8.358 c=8.358 alpha=143.72 beta=143.72 gamma=52.24
Element x y z (fractional)
Pr (0.000, 0.000, 0.000)
Ho (0.263, 0.263, 0.000)
Ho (0.737, 0.737, 0.000)
Cd (0.125, 0.625, 0.500)
Cd (0.375, 0.875, 0.500)
Cd (0.500, 0.500, 0.000)
Cd (0.625, 0.125, 0.500)
Cd (0.875, 0.375, 0.500)

- Density of states at the Fermi level: 3.83 states/eV/f.u.
- Volume: 203.25 Å³ per cell
- Calculated density: 8.438 g cm⁻³
- Formation enthalpy at 0 K: -311 meV/atom



11.
CaAl2Ir | GGA-PBE | optimized geometry

Unit cell a=8.761 b=8.761 c=8.761 alpha=145.93 beta=145.93 gamma=48.95
Element x y z (fractional)
Ca (0.000, 0.000, 0.000)
Ca (0.750, 0.250, 0.500)
Al (0.371, 0.125, 0.746)
Al (0.375, 0.629, 0.754)
Al (0.379, 0.625, 0.254)
Al (0.875, 0.621, 0.246)
Ir (0.250, 0.750, 0.500)
Ir (0.500, 0.500, 0.000)

- Density of states at the Fermi level: 1.31 states/eV/f.u.
- Volume: 210.11 Å³ per cell
- Calculated density: 4.525 g cm⁻³
- Formation enthalpy at 0 K: -193 meV/atom



12.
YErAlAu | GGA-PBE | optimized geometry

Unit cell a=3.549 b=3.549 c=7.417 alpha=90.00 beta=90.00 gamma=90.00
Element x y z (fractional)
Y (0.000, 0.000, 0.000)
Er (0.000, 0.000, 0.487)
Al (0.500, 0.500, 0.741)
Au (0.500, 0.500, 0.256)

- Density of states at the Fermi level: 1.70 states/eV/f.u.
- Excess energy over the best structure of this formula in the dataset: 0.0 kJ per mole of atoms
- Volume: 93.40 Å³ per cell
- Calculated density: 8.536 g cm⁻³
- Formation enthalpy at 0 K: -633 meV/atom



Q: Which value of volume does entry 3 give?
A: 89.10 Å³ per cell